VASP calculation (PBE with a Hubbard U) on a relaxed structure of MnGaIO6.

Summary:
The value obtained for the energy is -5.6965 eV/atom.

```
18
Lattice="-2.907 2.219 -3.582 -1.896 -0.832 4.681 3.091 8.514 2.765" Properties=species:S:1:pos:R:3 pbc="T T T"
Mn 0.000 0.000 0.000
Mn 1.546 4.257 1.383
I 0.085 6.571 4.001
I -1.797 3.330 -0.136
Ga -0.251 7.588 1.246
Ga -1.460 2.314 2.618
O -0.782 4.512 -1.245
O -0.929 5.389 5.109
O 0.941 7.827 2.841
O -2.652 2.075 1.023
O -2.942 4.752 0.430
O -3.113 3.060 -1.496
O -1.039 7.929 4.738
O 1.402 6.841 5.360
O -1.093 6.289 2.522
O -0.619 3.612 1.342
O 1.231 5.149 3.434
O -0.673 1.972 -0.873
```